# Ti3Ag2PbO8 PBE-GGA optimized geometry
data_Ti3Ag2PbO8
_cell_length_a 6.940
_cell_length_b 6.940
_cell_length_c 6.940
_cell_angle_alpha 51.71
_cell_angle_beta 51.71
_cell_angle_gamma 51.71
_symmetry_space_group_name_H-M 'P 1'
_symmetry_Int_Tables_number 1
loop_
_symmetry_equiv_pos_as_xyz
'x,y,z'
loop_
_atom_site_label
_atom_site_fract_x
_atom_site_fract_y
_atom_site_fract_z
Ti1 0.168 0.168 0.664
Ti2 0.168 0.664 0.168
Ti3 0.664 0.168 0.168
Ag1 0.168 0.168 0.168
Ag2 0.530 0.530 0.530
Pb1 0.794 0.794 0.794
O1 0.363 0.909 0.909
O2 0.398 0.398 0.398
O3 0.429 0.429 0.977
O4 0.429 0.977 0.429
O5 0.909 0.363 0.909
O6 0.909 0.909 0.363
O7 0.947 0.947 0.947
O8 0.977 0.429 0.429
# Formation energy (no corrections) = -2058 meV per atom
# Symmetry = No. 160



# GdTiBe2 PBE-GGA optimized geometry
data_GdTiBe2
_cell_length_a 3.172
_cell_length_b 3.172
_cell_length_c 6.378
_cell_angle_alpha 90.00
_cell_angle_beta 90.00
_cell_angle_gamma 90.00
_symmetry_space_group_name_H-M 'P 1'
_symmetry_Int_Tables_number 1
loop_
_symmetry_equiv_pos_as_xyz
'x,y,z'
loop_
_atom_site_label
_atom_site_fract_x
_atom_site_fract_y
_atom_site_fract_z
Gd1 0.000 0.000 0.000
Ti1 0.000 0.000 0.500
Be1 0.500 0.500 0.312
Be2 0.500 0.500 0.688
# Symmetry = No. 123
# ΔE_f = 0.13 eV per formula unit



# SmEr2TmS6 PBE-GGA optimized geometry
data_SmEr2TmS6
_cell_length_a 7.327
_cell_length_b 7.327
_cell_length_c 7.327
_cell_angle_alpha 56.14
_cell_angle_beta 56.14
_cell_angle_gamma 56.14
_symmetry_space_group_name_H-M 'P 1'
_symmetry_Int_Tables_number 1
loop_
_symmetry_equiv_pos_as_xyz
'x,y,z'
loop_
_atom_site_label
_atom_site_fract_x
_atom_site_fract_y
_atom_site_fract_z
Sm1 0.000 0.000 0.000
Er1 0.295 0.295 0.295
Er2 0.798 0.798 0.798
Tm1 0.495 0.495 0.495
S1 0.092 0.684 0.410
S2 0.199 0.589 0.895
S3 0.410 0.092 0.684
S4 0.589 0.895 0.199
S5 0.684 0.410 0.092
S6 0.895 0.199 0.589
# Formation energy (no corrections) = -2053 meV per atom
# Symmetry = No. 146



# Sr2AlCdCu PBE-GGA optimized geometry
data_Sr2AlCdCu
_cell_length_a 5.881
_cell_length_b 5.881
_cell_length_c 4.624
_cell_angle_alpha 90.00
_cell_angle_beta 90.00
_cell_angle_gamma 90.00
_symmetry_space_group_name_H-M 'P 1'
_symmetry_Int_Tables_number 1
loop_
_symmetry_equiv_pos_as_xyz
'x,y,z'
loop_
_atom_site_label
_atom_site_fract_x
_atom_site_fract_y
_atom_site_fract_z
Sr1 0.000 0.500 0.000
Sr2 0.500 0.000 0.000
Al1 0.000 0.000 0.500
Cd1 0.500 0.500 0.500
Cu1 0.000 0.000 0.000
# Symmetry = No. 123
# ΔE_f = -0.47 eV per formula unit



# PbSe3Cl PBE-GGA optimized geometry
data_PbSe3Cl
_cell_length_a 5.611
_cell_length_b 5.611
_cell_length_c 5.611
_cell_angle_alpha 90.00
_cell_angle_beta 90.00
_cell_angle_gamma 90.00
_symmetry_space_group_name_H-M 'P 1'
_symmetry_Int_Tables_number 1
loop_
_symmetry_equiv_pos_as_xyz
'x,y,z'
loop_
_atom_site_label
_atom_site_fract_x
_atom_site_fract_y
_atom_site_fract_z
Pb1 0.000 0.000 0.000
Se1 0.000 0.000 0.500
Se2 0.000 0.500 0.000
Se3 0.500 0.000 0.000
Cl1 0.500 0.500 0.500
# Formation energy (no corrections) = 669 meV per atom
# Symmetry = No. 221



# Cs2NaZnAu PBE-GGA optimized geometry
data_Cs2NaZnAu
_cell_length_a 7.017
_cell_length_b 7.017
_cell_length_c 5.154
_cell_angle_alpha 90.00
_cell_angle_beta 90.00
_cell_angle_gamma 90.00
_symmetry_space_group_name_H-M 'P 1'
_symmetry_Int_Tables_number 1
loop_
_symmetry_equiv_pos_as_xyz
'x,y,z'
loop_
_atom_site_label
_atom_site_fract_x
_atom_site_fract_y
_atom_site_fract_z
Cs1 0.000 0.500 0.000
Cs2 0.500 0.000 0.000
Na1 0.000 0.000 0.500
Zn1 0.500 0.500 0.500
Au1 0.500 0.500 0.000
# Symmetry = No. 123
# ΔE_f = -0.32 eV per formula unit



# SrYTm2Se4 PBE-GGA optimized geometry
data_SrYTm2Se4
_cell_length_a 7.155
_cell_length_b 4.101
_cell_length_c 7.161
_cell_angle_alpha 90.00
_cell_angle_beta 109.04
_cell_angle_gamma 90.00
_symmetry_space_group_name_H-M 'P 1'
_symmetry_Int_Tables_number 1
loop_
_symmetry_equiv_pos_as_xyz
'x,y,z'
loop_
_atom_site_label
_atom_site_fract_x
_atom_site_fract_y
_atom_site_fract_z
Sr1 0.000 0.000 0.000
Y1 0.500 0.500 0.000
Tm1 0.000 0.500 0.500
Tm2 0.500 0.000 0.500
Se1 0.252 0.000 0.738
Se2 0.262 0.500 0.267
Se3 0.738 0.500 0.733
Se4 0.748 0.000 0.262
# Formation energy (no corrections) = -1758 meV per atom
# Symmetry = No. 10



# ZrTlCu PBE-GGA optimized geometry
data_ZrTlCu
_cell_length_a 4.596
_cell_length_b 4.596
_cell_length_c 3.212
_cell_angle_alpha 90.00
_cell_angle_beta 90.00
_cell_angle_gamma 120.00
_symmetry_space_group_name_H-M 'P 1'
_symmetry_Int_Tables_number 1
loop_
_symmetry_equiv_pos_as_xyz
'x,y,z'
loop_
_atom_site_label
_atom_site_fract_x
_atom_site_fract_y
_atom_site_fract_z
Zr1 0.000 0.000 0.000
Tl1 0.333 0.667 0.500
Cu1 0.667 0.333 0.503
# Symmetry = No. 156
# ΔE_f = 0.04 eV per formula unit



# PmSmZnIn PBE-GGA optimized geometry
data_PmSmZnIn
_cell_length_a 3.716
_cell_length_b 3.716
_cell_length_c 7.639
_cell_angle_alpha 90.00
_cell_angle_beta 90.00
_cell_angle_gamma 90.00
_symmetry_space_group_name_H-M 'P 1'
_symmetry_Int_Tables_number 1
loop_
_symmetry_equiv_pos_as_xyz
'x,y,z'
loop_
_atom_site_label
_atom_site_fract_x
_atom_site_fract_y
_atom_site_fract_z
Pm1 0.000 0.000 0.000
Sm1 0.000 0.000 0.461
Zn1 0.500 0.500 0.233
In1 0.500 0.500 0.729
# Symmetry = No. 99
# ΔE_f = -1.64 eV per formula unit



In the order shown, the computed E values come out to -7.256, -7.324, -6.361, -2.517, -2.532, -1.579, -5.636, -4.992, -3.780 eV/atom.